Compound: KPAu3
Source: the Alexandria database
Functional: PBE
Structure: relaxed

Cell lengths 4.922, 4.922, 4.922 Å; angles 90.00, 90.00, 90.00 degrees
Sites, in units of the cell vectors:
K1 0.000 0.000 0.000
P1 0.500 0.500 0.500
Au1 0.000 0.500 0.500
Au2 0.500 0.000 0.500
Au3 0.500 0.500 0.000

Its density of states at the Fermi level is 1.81 states/eV per cell. The space group is Pm-3m, No. 221. As for the calculated total energy: -0.25056 Ry per atom. The value obtained for the mass density is 9.203 g/cm3. As for the energy above the most stable polymorph in this dataset: 46 meV/atom. As for the size of the total moment: 0.00 μB/f.u.